A PBEsol-optimized structure of Te2AsPdSe, computed with meta-GGA SCAN.

Properties
energy relative to the elements, uncorrected = 256 kJ/mol of formula units

Cell: 5.227 5.227 4.692 Å, 90.00 90.00 90.00°
Space group P4/mmm (No. 123)
Asymmetric unit:
Te (0.000, 0.500, 0.000) x2
As (0.000, 0.000, 0.500) x1
Pd (0.500, 0.500, 0.000) x1
Se (0.500, 0.500, 0.500) x1

***

A PBEsol-optimized structure of TiAs2PdSe, computed with meta-GGA SCAN.

Properties
energy relative to the elements, uncorrected = 111 kJ/mol of formula units

Cell: 4.778 4.778 4.739 Å, 90.00 90.00 90.00°
Space group P4/mmm (No. 123)
Asymmetric unit:
Ti (0.000, 0.000, 0.000) x1
As (0.000, 0.500, 0.000) x2
Pd (0.500, 0.500, 0.500) x1
Se (0.000, 0.000, 0.500) x1